This record from Alexandria describes crystalline SiICl2 at its relaxed geometry. The functional is GGA-PBE.

Cell: 12.382 12.382 12.382 Å, 16.97 16.97 16.97°
Positions (direct):
Si  0.000  0.000  0.000
I  0.500  0.500  0.500
Cl  0.375  0.375  0.375
Cl  0.625  0.625  0.625

Calculated values
- Fermi-level density of states (states/eV/atom) = 0.547
- energy (eV/atom) = -2.886
- uncorrected formation energy (eV per atom) = -0.2199

***

This record from Alexandria describes crystalline MgScBr3 at its relaxed geometry. The functional is GGA-PBE.

Cell: 5.357 5.357 5.357 Å, 90.00 90.00 90.00°
Positions (direct):
Mg  0.000  0.000  0.000
Sc  0.500  0.500  0.500
Br  0.000  0.500  0.500
Br  0.500  0.000  0.500
Br  0.500  0.500  0.000

Calculated values
- Fermi-level density of states (states/eV/atom) = 0.866
- energy (eV/atom) = -3.565
- uncorrected formation energy (eV per atom) = -0.9762